Record 1
Material: AgHPbAu2
Method: DFT, PBE
State: relaxed

```
AgHPbAu2
1.0
4.097 0.000 0.000
0.000 4.097 0.000
0.000 0.000 5.338
Ag H Pb Au
1 1 1 2
direct
0.000 0.000 0.000 Ag
0.000 0.000 0.500 H
0.500 0.500 0.000 Pb
0.000 0.500 0.500 Au
0.500 0.000 0.500 Au
```

Values from the calculation:
DOS(E_F)	1.15	states/eV/cell
E	-3.08	eV per atom
SG	P4/mmm

Record 2
Material: AgH2PdAu
Method: DFT, PBE
State: relaxed

```
AgH2PdAu
1.0
3.705 0.000 0.000
0.000 3.705 0.000
0.000 0.000 5.305
Ag H Pd Au
1 2 1 1
direct
0.000 0.000 0.000 Ag
0.000 0.500 0.500 H
0.500 0.000 0.500 H
0.500 0.500 0.500 Pd
0.500 0.500 0.000 Au
```

Values from the calculation:
DOS(E_F)	1.02	states/eV/cell
E	-3.28	eV per atom
SG	P4/mmm

Record 3
Material: AgHPdAu
Method: DFT, PBE
State: relaxed

```
AgHPdAu
1.0
2.562 -1.476 0.000
2.562 1.476 0.000
-1.730 0.000 7.194
Ag H Pd Au
1 1 1 1
direct
0.000 0.000 0.000 Ag
0.576 0.576 0.739 H
0.216 0.216 0.661 Pd
0.779 0.779 0.329 Au
```

Values from the calculation:
DOS(E_F)	0.83	states/eV/cell
E	-3.73	eV per atom
SG	Cm

Record 4
Material: Ag2HPdAu
Method: DFT, PBE
State: relaxed

```
Ag2HPdAu
1.0
4.249 0.000 0.000
0.000 4.249 0.000
0.000 0.000 3.991
Ag H Pd Au
2 1 1 1
direct
0.000 0.500 0.000 Ag
0.500 0.000 0.000 Ag
0.000 0.000 0.000 H
0.500 0.500 0.500 Pd
0.000 0.000 0.500 Au
```

Values from the calculation:
DOS(E_F)	1.45	states/eV/cell
energy above the lowest structure with this stoichiometry	0.152	eV/atom
SG	P4/mmm